[1]
This record from the Alexandria database describes a geometry-optimized Tl2IrI structure. The functional is PBE.

Cell: 5.4155 5.4155 5.4155 Å, 60.00 60.00 60.00°
Last column: magnetic moment on the atom in μB.
Fractional coordinates of all 4 atoms:
I 0.0000 0.0000 0.0000  0.18
Tl 0.2500 0.2500 0.2500  0.04
Tl 0.7500 0.7500 0.7500  0.04
Ir 0.5000 0.5000 0.5000  1.46

Summary:
The space-group type is Fm-3m (225). The crystal system is cubic. For the distance to the lowest polymorph of the same formula, the calculation gives 401.4 meV/atom. Its density of states at the Fermi level is 1.736 states/eV/atom. For the total magnetization, the calculation gives 1.812 μB per cell.

[2]
This record from the Alexandria database describes a geometry-optimized LaNdTeO6 structure. The functional is PBE.

Cell: 5.7758 5.7758 9.7995 Å, 90.00 90.00 120.00°
Fractional coordinates of all 18 atoms:
La 0.0000 0.0000 0.0000
La 0.0000 0.0000 0.5000
Nd 0.3333 0.6667 0.2500
Nd 0.6667 0.3333 0.7500
Te 0.6667 0.3333 0.2500
Te 0.3333 0.6667 0.7500
O 0.6714 0.6169 0.1373
O 0.9455 0.3286 0.1373
O 0.3286 0.9455 0.6373
O 0.0545 0.6714 0.8627
O 0.3831 0.3286 0.3627
O 0.9455 0.6169 0.3627
O 0.6169 0.9455 0.8627
O 0.6714 0.0545 0.3627
O 0.0545 0.3831 0.6373
O 0.3831 0.0545 0.1373
O 0.6169 0.6714 0.6373
O 0.3286 0.3831 0.8627

Summary:
The space-group type is P-31c (163). The crystal system is trigonal. Its density of states at the Fermi level is 0.000 states/eV/atom. For the total magnetization, the calculation gives 0.000 μB per cell.

Number 1: raw formation energy 0.819 eV/atom. Number 2: raw formation energy -2.394 eV/atom.